Density functional theory data (PBE-GGA) for a geometry-optimized HfTi2Co2 structure.

Values from the calculation:
The total energy comes out at -41.209 eV/f.u. Its energy of formation from the pure elements is -0.251 eV per atom. The space group is I4/mmm. As for the energy above the most stable polymorph in this dataset: 0.000 eV per atom.

a b c (Å): 4.040 4.040 5.596
angles (deg): 68.84 68.84 90.00
Fractional positions:
1 Co 0.387 0.387 0.226
2 Co 0.613 0.613 0.774
3 Ti 0.750 0.250 0.500
4 Ti 0.250 0.750 0.500
5 Hf 0.000 0.000 0.000